## w
Density functional theory data (PBE) for RbCaIn2Pt after structural relaxation.

Calculated values
space group	No. 123
magnetic moment	0.000	μB per cell

Unit cell a=5.9486 b=5.9486 c=5.4466 alpha=90.00 beta=90.00 gamma=90.00
With the nearest neighbours (Å) after each atom.
Fractional positions:
1 Rb 0.0000 0.0000 0.0000  2 Pt 2.72, 4 In 2.97
2 Ca 0.5000 0.5000 0.5000  8 In 4.03, 4 Pt 4.21
3 In 0.0000 0.5000 0.0000  2 Rb 2.97
4 In 0.5000 0.0000 0.0000  2 Rb 2.97
5 Pt 0.0000 0.0000 0.5000  2 Rb 2.72


## x
Density functional theory data (PBE) for RbCaIn2Pt after structural relaxation.

Calculated values
space group	No. 123
magnetic moment	0.000	μB per cell

Unit cell a=5.3398 b=5.3398 c=5.5937 alpha=90.00 beta=90.00 gamma=90.00
With the nearest neighbours (Å) after each atom.
Fractional positions:
1 Rb 0.0000 0.0000 0.0000  4 Ca 3.78, 8 In 3.87
2 Ca 0.5000 0.5000 0.0000  2 Pt 2.80
3 In 0.0000 0.5000 0.5000  2 Pt 2.67
4 In 0.5000 0.0000 0.5000  2 Pt 2.67
5 Pt 0.5000 0.5000 0.5000  4 In 2.67, 2 Ca 2.80


Q: Which of them is the most stable? A: x.


## w
Density functional theory data (PBE) for SrCa2InPt after structural relaxation.

Calculated values
space group	No. 123
magnetic moment	0.000	μB per cell

Unit cell a=5.5391 b=5.5391 c=5.8283 alpha=90.00 beta=90.00 gamma=90.00
With the nearest neighbours (Å) after each atom.
Fractional positions:
1 Sr 0.0000 0.0000 0.0000  2 Pt 2.91
2 Ca 0.0000 0.5000 0.5000  2 Pt 2.77
3 Ca 0.5000 0.0000 0.5000  2 Pt 2.77
4 In 0.5000 0.5000 0.0000  4 Sr 3.92, 8 Ca 4.02
5 Pt 0.0000 0.0000 0.5000  4 Ca 2.77, 2 Sr 2.91


## x
Density functional theory data (PBE) for SrCa2InPt after structural relaxation.

Calculated values
space group	No. 123
magnetic moment	0.000	μB per cell

Unit cell a=5.6005 b=5.6005 c=5.3205 alpha=90.00 beta=90.00 gamma=90.00
With the nearest neighbours (Å) after each atom.
Fractional positions:
1 Sr 0.0000 0.0000 0.0000  8 Ca 3.86, 4 In 3.96
2 Ca 0.0000 0.5000 0.5000  2 Pt 2.80
3 Ca 0.5000 0.0000 0.5000  2 Pt 2.80
4 In 0.5000 0.5000 0.0000  2 Pt 2.66
5 Pt 0.5000 0.5000 0.5000  2 In 2.66, 4 Ca 2.80


Q: Which of them is the most stable? A: w.


## w
Density functional theory data (PBE) for RbCaIn after structural relaxation.

Calculated values
space group	No. 12
magnetic moment	0.000	μB per cell

Unit cell a=13.7955 b=13.7955 c=4.7820 alpha=90.12 beta=90.12 gamma=18.61
With the nearest neighbours (Å) after each atom.
Fractional positions:
1 Rb 0.1773 0.1773 0.2522  1 In 3.83
2 Rb 0.8227 0.8227 0.7478  1 In 3.83
3 Ca 0.4432 0.4432 0.2492  6 In 3.32-3.38
4 Ca 0.5568 0.5568 0.7508  6 In 3.32-3.38
5 In 0.0366 0.0366 0.2505  2 In 3.11, 6 Ca 3.32-3.38
6 In 0.9634 0.9634 0.7495  2 In 3.11, 6 Ca 3.32-3.38


## x
Density functional theory data (PBE) for RbCaIn after structural relaxation.

Calculated values
space group	No. 6
magnetic moment	0.000	μB per cell

Unit cell a=4.1920 b=4.9941 c=13.5978 alpha=90.00 beta=90.26 gamma=90.00
With the nearest neighbours (Å) after each atom.
Fractional positions:
1 Rb 0.0000 0.0000 0.0000  1 In 3.80, 2 Rb 4.19
2 Rb 0.4927 0.5000 0.2919  2 Ca 4.12, 2 In 4.18-4.19, 2 Rb 4.19
3 Ca 0.4951 0.0000 0.5324  6 In 3.28-3.31
4 Ca 0.4984 0.5000 0.7558  6 In 3.29-3.41
5 In 0.9954 0.5000 0.5581  6 Ca 3.28-3.41, 2 In 3.33
6 In 0.9982 0.0000 0.7204  6 Ca 3.29-3.31, 2 In 3.33


Q: Which of them is the most stable? A: w.


## w
Density functional theory data (PBE) for RbCaIn after structural relaxation.

Calculated values
space group	No. 11
magnetic moment	0.000	μB per cell

Unit cell a=4.2631 b=4.2653 c=14.5737 alpha=90.00 beta=90.35 gamma=90.00
With the nearest neighbours (Å) after each atom.
Fractional positions:
1 Rb 0.2420 0.2500 0.1498  1 Ca 3.94, 4 In 3.97-3.98, 4 Rb 4.26-4.27
2 Rb 0.7580 0.7500 0.8502  1 Ca 3.94, 4 In 3.97-3.98, 4 Rb 4.26-4.27
3 Ca 0.2482 0.2500 0.4199  5 In 3.30-3.68
4 Ca 0.7518 0.7500 0.5801  5 In 3.30-3.68
5 In 0.2536 0.2500 0.6725  5 Ca 3.30-3.68
6 In 0.7464 0.7500 0.3275  5 Ca 3.30-3.68


## x
Density functional theory data (PBE) for RbCaIn after structural relaxation.

Calculated values
space group	No. 11
magnetic moment	0.000	μB per cell

Unit cell a=4.1324 b=5.1000 c=13.5669 alpha=90.00 beta=98.59 gamma=90.00
With the nearest neighbours (Å) after each atom.
Fractional positions:
1 Rb 0.1768 0.2500 0.3511  2 In 4.08-4.10, 2 Rb 4.13, 2 Ca 4.15
2 Rb 0.8232 0.7500 0.6489  2 In 4.08-4.10, 2 Rb 4.13, 2 Ca 4.15
3 Ca 0.0524 0.7500 0.1074  6 In 3.29-3.34
4 Ca 0.9476 0.2500 0.8926  6 In 3.29-3.34
5 In 0.4571 0.7500 0.9123  6 Ca 3.29-3.34, 2 In 3.47
6 In 0.5429 0.2500 0.0877  6 Ca 3.29-3.34, 2 In 3.47


Q: Which of them is the most stable? A: x.